Entry 1:
Computed, not measured: GaCuC2I after structural relaxation at the PBE level of DFT.

Output
Fermi-level density of states: 3.88 states/eV per cell

Cell: 4.2038 4.2038 5.7398 Å, 90.00 90.00 90.00°
Last column: nearest neighbours and their distance in Å.
Space group P4/mmm (No. 123)
Symmetry-distinct sites (fractional):
Ga 0.0000 0.0000 0.0000  2 I 2.87, 4 Cu 2.97
Cu 0.5000 0.5000 0.0000  4 Ga 2.97
C 0.0000 0.5000 0.5000  2 I 2.10
I 0.0000 0.0000 0.5000  4 C 2.10

***

Entry 2:
Computed, not measured: Mn2GaCuC after structural relaxation at the PBE level of DFT.

Output
Fermi-level density of states: 1.98 states/eV per cell
Energy of formation from the pure elements: 39 meV/atom

Cell: 3.8296 3.8296 3.9198 Å, 90.00 90.00 90.00°
Last column: nearest neighbours and their distance in Å.
Space group P4/mmm (No. 123)
Symmetry-distinct sites (fractional):
Mn 0.0000 0.5000 0.0000  2 C 1.91
Ga 0.0000 0.0000 0.5000  4 Cu 2.71, 8 Mn 2.74
Cu 0.5000 0.5000 0.5000  2 C 1.96
C 0.5000 0.5000 0.0000  4 Mn 1.91, 2 Cu 1.96

***

no.,DFT total energy (eV per atom)
1,-2.70
2,-6.90